# 1
{
  "formula": "Rb2AcPaTe4",
  "functional": "PBE",
  "state": "optimized geometry",
  "spacegroup": "P2/m, No. 10",
  "e_form_raw_mev_per_atom": -1166,
  "total_energy_ev_per_atom": -4.68,
  "vol_a3_per_atom": 41.243,
  "magmom_total_mub_per_cell": 1.98,
  "lattice": [[4.667, 0.000, 0.000], [0.000, 8.168, 0.163], [0.000, -2.852, 8.599]],
  "species": ["Rb", "Pa", "Ac", "Te", "Te", "Rb", "Te", "Te"],
  "frac_coords": [[0.000, 0.500, 0.500], [0.500, 0.500, 0.000], [0.000, 0.000, 0.000], [0.500, 0.254, 0.213], [0.500, 0.746, 0.787], [0.500, 0.000, 0.500], [0.000, 0.721, 0.205], [0.000, 0.279, 0.795]]
}


# 2
{
  "formula": "Rb2Ac2PaTe6",
  "functional": "PBE",
  "state": "optimized geometry",
  "spacegroup": "C2/m, No. 12",
  "e_form_raw_mev_per_atom": -1294,
  "total_energy_ev_per_atom": -4.79,
  "vol_a3_per_atom": 46.224,
  "magmom_total_mub_per_cell": 1.02,
  "lattice": [[-5.141, -4.467, -4.523], [8.039, -0.500, -1.405], [-0.383, -4.836, 7.777]],
  "species": ["Ac", "Te", "Te", "Te", "Ac", "Te", "Rb", "Pa", "Te", "Te", "Rb"],
  "frac_coords": [[0.334, 0.666, 0.500], [0.241, 0.241, 0.296], [0.617, 0.929, 0.295], [0.929, 0.617, 0.295], [0.666, 0.334, 0.500], [0.759, 0.759, 0.704], [0.172, 0.828, 0.000], [0.000, 0.000, 0.500], [0.071, 0.383, 0.705], [0.383, 0.071, 0.705], [0.828, 0.172, 0.000]]
}


# 3
{
  "formula": "AcPaRh3",
  "functional": "PBE",
  "state": "optimized geometry",
  "spacegroup": "I4mm, No. 107",
  "total_energy_ev_per_atom": -7.80,
  "vol_a3_per_atom": 22.332,
  "e_form_mev_per_atom": -670,
  "magmom_total_mub_per_cell": 0.00,
  "lattice": [[-0.665, -3.207, 2.944], [2.109, -2.842, -2.620], [4.258, 4.351, 2.408]],
  "species": ["Rh", "Rh", "Ac", "Pa", "Rh"],
  "frac_coords": [[0.272, 0.772, 0.544], [0.772, 0.272, 0.544], [0.973, 0.973, 0.947], [0.641, 0.641, 0.281], [0.432, 0.432, 0.864]]
}


# 4
{
  "formula": "AcPaRh2",
  "functional": "PBE",
  "state": "optimized geometry",
  "spacegroup": "P4/mmm, No. 123",
  "total_energy_ev_per_atom": -7.73,
  "vol_a3_per_atom": 23.332,
  "e_form_mev_per_atom": -654,
  "relative_energy_ev_per_fu": 0.26,
  "magmom_total_mub_per_cell": 0.00,
  "lattice": [[3.535, 0.000, 0.000], [0.000, 3.535, 0.000], [0.000, 0.000, 7.469]],
  "species": ["Rh", "Pa", "Ac", "Rh"],
  "frac_coords": [[0.000, 0.000, 0.194], [0.500, 0.500, 0.000], [0.500, 0.500, 0.500], [0.000, 0.000, 0.806]]
}


# 5
{
  "formula": "AcPa2Rh",
  "functional": "PBE",
  "state": "optimized geometry",
  "spacegroup": "R-3m, No. 166",
  "total_energy_ev_per_atom": -7.47,
  "vol_a3_per_atom": 28.860,
  "e_form_mev_per_atom": 146,
  "magmom_total_mub_per_cell": 0.00,
  "lattice": [[3.571, 0.000, 0.000], [1.785, 3.093, 0.000], [1.785, 1.031, 10.453]],
  "species": ["Pa", "Pa", "Ac", "Rh"],
  "frac_coords": [[0.107, 0.107, 0.678], [0.893, 0.893, 0.322], [0.000, 0.000, 0.000], [0.500, 0.500, 0.500]]
}


# 6
{
  "formula": "Ac2PaRh4",
  "functional": "PBE",
  "state": "optimized geometry",
  "spacegroup": "I4/mmm, No. 139",
  "total_energy_ev_per_atom": -7.11,
  "vol_a3_per_atom": 23.951,
  "e_form_mev_per_atom": -377,
  "magmom_total_mub_per_cell": 0.00,
  "lattice": [[-1.623, 4.162, -1.306], [-2.807, 0.070, 3.712], [7.767, 1.346, 2.930]],
  "species": ["Rh", "Rh", "Pa", "Rh", "Ac", "Ac", "Rh"],
  "frac_coords": [[0.407, 0.907, 0.814], [0.907, 0.407, 0.814], [0.000, 0.000, 0.000], [0.593, 0.093, 0.186], [0.711, 0.711, 0.423], [0.289, 0.289, 0.577], [0.093, 0.593, 0.186]]
}


# 7
{
  "formula": "AcPaRh4",
  "functional": "PBE",
  "state": "optimized geometry",
  "spacegroup": "Pmma, No. 51",
  "total_energy_ev_per_atom": -7.76,
  "vol_a3_per_atom": 20.324,
  "e_form_mev_per_atom": -594,
  "relative_energy_ev_per_fu": 0.00,
  "magmom_total_mub_per_cell": 0.00,
  "lattice": [[-2.830, -2.846, -0.856], [2.835, -4.397, 5.252], [-4.930, 3.278, 5.405]],
  "species": ["Ac", "Rh", "Rh", "Rh", "Pa", "Pa", "Rh", "Rh", "Ac", "Rh", "Rh", "Rh"],
  "frac_coords": [[0.000, 0.329, 0.250], [0.000, 0.000, 0.000], [0.500, 0.687, 0.454], [0.500, 0.972, 0.750], [0.000, 0.226, 0.750], [0.000, 0.774, 0.250], [0.000, 0.000, 0.500], [0.500, 0.028, 0.250], [0.000, 0.671, 0.750], [0.500, 0.313, 0.546], [0.500, 0.687, 0.046], [0.500, 0.313, 0.954]]
}


# 8
{
  "formula": "Ac2PaRh2",
  "functional": "PBE",
  "state": "optimized geometry",
  "spacegroup": "C2/c, No. 15",
  "total_energy_ev_per_atom": -6.97,
  "vol_a3_per_atom": 30.494,
  "e_form_mev_per_atom": -491,
  "magmom_total_mub_per_cell": 0.00,
  "lattice": [[-4.187, -0.800, -5.286], [-3.026, -7.040, -0.857], [-7.434, -1.087, 1.733]],
  "species": ["Ac", "Ac", "Ac", "Rh", "Rh", "Pa", "Rh", "Rh", "Ac", "Pa"],
  "frac_coords": [[0.163, 0.470, 0.205], [0.663, 0.205, 0.470], [0.337, 0.795, 0.530], [0.084, 0.148, 0.685], [0.916, 0.852, 0.315], [0.250, 0.000, 0.000], [0.416, 0.315, 0.852], [0.584, 0.685, 0.148], [0.837, 0.530, 0.795], [0.750, 0.000, 0.000]]
}


# 9
{
  "formula": "AcPaRh4",
  "functional": "PBE",
  "state": "optimized geometry",
  "spacegroup": "F-43m, No. 216",
  "total_energy_ev_per_atom": -7.73,
  "vol_a3_per_atom": 18.807,
  "e_form_mev_per_atom": -562,
  "relative_energy_ev_per_fu": 0.19,
  "magmom_total_mub_per_cell": 0.00,
  "lattice": [[5.424, 0.000, 0.000], [2.712, 4.697, 0.000], [2.712, 1.566, 4.429]],
  "species": ["Rh", "Rh", "Ac", "Pa", "Rh", "Rh"],
  "frac_coords": [[0.626, 0.626, 0.626], [0.123, 0.626, 0.626], [0.250, 0.250, 0.250], [0.000, 0.000, 0.000], [0.626, 0.626, 0.123], [0.626, 0.123, 0.626]]
}


# 10
{
  "formula": "Ac2PaRh",
  "functional": "PBE",
  "state": "optimized geometry",
  "spacegroup": "R-3m, No. 166",
  "total_energy_ev_per_atom": -5.94,
  "vol_a3_per_atom": 34.179,
  "e_form_mev_per_atom": 322,
  "magmom_total_mub_per_cell": 2.00,
  "lattice": [[3.808, 0.000, 0.000], [1.904, 3.298, 0.000], [1.904, 1.099, 10.888]],
  "species": ["Pa", "Rh", "Ac", "Ac"],
  "frac_coords": [[0.000, 0.000, 0.000], [0.500, 0.500, 0.500], [0.892, 0.892, 0.324], [0.108, 0.108, 0.676]]
}


# 11
{
  "formula": "Ac2Pa2Rh3",
  "functional": "PBE",
  "state": "optimized geometry",
  "spacegroup": "P-1, No. 2",
  "total_energy_ev_per_atom": -7.58,
  "vol_a3_per_atom": 27.200,
  "e_form_mev_per_atom": -539,
  "magmom_total_mub_per_cell": 0.00,
  "lattice": [[4.250, 0.005, -0.007], [-2.118, 5.234, -0.608], [-0.003, -0.201, 8.579]],
  "species": ["Ac", "Rh", "Pa", "Ac", "Rh", "Pa", "Rh"],
  "frac_coords": [[0.873, 0.748, 0.649], [0.000, 0.000, 0.000], [0.661, 0.322, 0.937], [0.127, 0.252, 0.351], [0.826, 0.654, 0.263], [0.339, 0.678, 0.063], [0.174, 0.346, 0.737]]
}